Record 1
Material: LaCu3C
Method: DFT, PBE-GGA
State: optimized geometry

```
data_LaCu3C
_space_group_name_H-M_alt 'P m -3 m'
_space_group_IT_number 221
_space_group_name_Hall '-P 4 2 3'
_cell_length_a 4.200
_cell_length_b 4.200
_cell_length_c 4.200
_cell_angle_alpha 90.00
_cell_angle_beta 90.00
_cell_angle_gamma 90.00
loop_
_atom_site_label
_atom_site_type_symbol
_atom_site_fract_x
_atom_site_fract_y
_atom_site_fract_z
La1 La 0.000 0.000 0.000
Cu1 Cu 0.000 0.500 0.500
C1 C 0.500 0.500 0.500
```

Values from the calculation:
formation enthalpy at 0 K = 0.412 eV/atom
total moment = 0.000 μB/atom
energy relative to the lowest polymorph listed for this composition = 0.00 eV per formula unit

***

Record 2
Material: LaCuC2
Method: DFT, PBE-GGA
State: optimized geometry

```
data_LaCuC2
_space_group_name_H-M_alt 'F m -3 m'
_space_group_IT_number 225
_space_group_name_Hall '-F 4 2 3'
_cell_length_a 6.037
_cell_length_b 6.037
_cell_length_c 6.037
_cell_angle_alpha 90.00
_cell_angle_beta 90.00
_cell_angle_gamma 90.00
loop_
_atom_site_label
_atom_site_type_symbol
_atom_site_fract_x
_atom_site_fract_y
_atom_site_fract_z
La1 La 0.000 0.000 0.000
Cu1 Cu 0.000 0.000 0.500
C1 C 0.250 0.250 0.250
```

Values from the calculation:
formation enthalpy at 0 K = 1.231 eV/atom
total moment = 0.000 μB/atom

***

Record 3
Material: LaCu2C
Method: DFT, PBE-GGA
State: optimized geometry

```
data_LaCu2C
_space_group_name_H-M_alt 'I 41/a m d'
_space_group_IT_number 141
_cell_length_a 4.577
_cell_length_b 4.577
_cell_length_c 13.125
_cell_angle_alpha 90.00
_cell_angle_beta 90.00
_cell_angle_gamma 90.00
loop_
_space_group_symop_operation_xyz
'x,y,z'
'-x,-y,-z'
'-y+1/4,x+3/4,z+1/4'
'y+1/4,-x+3/4,-z+1/4'
'-x+1/2,-y,z+1/2'
'x+1/2,y,-z+1/2'
'y+1/4,-x+1/4,z+3/4'
'-y+1/4,x+1/4,-z+3/4'
'x,-y,-z'
'-x,y,z'
'-y+1/4,-x+1/4,-z+3/4'
'y+1/4,x+1/4,z+3/4'
'-x+1/2,y,-z+1/2'
'x+1/2,-y,z+1/2'
'y+1/4,x+3/4,-z+1/4'
'-y+1/4,-x+3/4,z+1/4'
'x+1/2,y+1/2,z+1/2'
'-x+1/2,-y+1/2,-z+1/2'
'-y+3/4,x+1/4,z+3/4'
'y+3/4,-x+1/4,-z+3/4'
'-x,-y+1/2,z'
'x,y+1/2,-z'
'y+3/4,-x+3/4,z+1/4'
'-y+3/4,x+3/4,-z+1/4'
'x+1/2,-y+1/2,-z+1/2'
'-x+1/2,y+1/2,z+1/2'
'-y+3/4,-x+3/4,-z+1/4'
'y+3/4,x+3/4,z+1/4'
'-x,y+1/2,-z'
'x,-y+1/2,z'
'y+3/4,x+1/4,-z+3/4'
'-y+3/4,-x+1/4,z+3/4'
loop_
_atom_site_label
_atom_site_type_symbol
_atom_site_fract_x
_atom_site_fract_y
_atom_site_fract_z
La1 La 0.000 0.250 0.375
Cu1 Cu 0.000 0.000 0.000
C1 C 0.000 0.250 0.875
```

Values from the calculation:
formation enthalpy at 0 K = 0.336 eV/atom
total moment = 0.000 μB/atom

***

Record 4
Material: La4Cu2C
Method: DFT, PBE-GGA
State: optimized geometry

```
data_La4Cu2C
_space_group_name_H-M_alt 'I 4/m m m'
_space_group_IT_number 139
_space_group_name_Hall '-I 4 2'
_cell_length_a 5.211
_cell_length_b 5.211
_cell_length_c 14.191
_cell_angle_alpha 90.00
_cell_angle_beta 90.00
_cell_angle_gamma 90.00
loop_
_atom_site_label
_atom_site_type_symbol
_atom_site_fract_x
_atom_site_fract_y
_atom_site_fract_z
La1 La 0.000 0.000 0.181
La2 La 0.000 0.500 0.000
Cu1 Cu 0.000 0.000 0.382
C1 C 0.000 0.000 0.000
```

Values from the calculation:
formation enthalpy at 0 K = -0.019 eV/atom
total moment = 0.000 μB/atom

***

Record 5
Material: LaCuC
Method: DFT, PBE-GGA
State: optimized geometry

```
data_LaCuC
_space_group_name_H-M_alt 'P 1 m 1'
_space_group_IT_number 6
_cell_length_a 4.596
_cell_length_b 5.068
_cell_length_c 5.544
_cell_angle_alpha 90.00
_cell_angle_beta 111.91
_cell_angle_gamma 90.00
loop_
_space_group_symop_operation_xyz
'x,y,z'
'x,-y,z'
loop_
_atom_site_label
_atom_site_type_symbol
_atom_site_fract_x
_atom_site_fract_y
_atom_site_fract_z
La1 La 0.000 0.000 0.000
La2 La 0.294 0.500 0.542
Cu1 Cu 0.620 0.500 0.158
Cu2 Cu 0.695 0.000 0.399
C1 C 0.136 0.000 0.576
C2 C 0.435 0.000 0.608
```

Values from the calculation:
formation enthalpy at 0 K = -0.016 eV/atom
total moment = 0.000 μB/atom

***

Record 6
Material: LaCu3C
Method: DFT, PBE-GGA
State: optimized geometry

```
data_LaCu3C
_space_group_name_H-M_alt 'P m -3 m'
_space_group_IT_number 221
_space_group_name_Hall '-P 4 2 3'
_cell_length_a 5.371
_cell_length_b 5.371
_cell_length_c 5.371
_cell_angle_alpha 90.00
_cell_angle_beta 90.00
_cell_angle_gamma 90.00
loop_
_atom_site_label
_atom_site_type_symbol
_atom_site_fract_x
_atom_site_fract_y
_atom_site_fract_z
La1 La 0.000 0.000 0.000
Cu1 Cu 0.000 0.000 0.500
C1 C 0.500 0.500 0.500
```

Values from the calculation:
formation enthalpy at 0 K = 2.509 eV/atom
total moment = 0.376 μB/atom
energy relative to the lowest polymorph listed for this composition = 10.49 eV per formula unit

***

Record 7
Material: LaCuC3
Method: DFT, PBE-GGA
State: optimized geometry

```
data_LaCuC3
_space_group_name_H-M_alt 'P m -3 m'
_space_group_IT_number 221
_space_group_name_Hall '-P 4 2 3'
_cell_length_a 4.494
_cell_length_b 4.494
_cell_length_c 4.494
_cell_angle_alpha 90.00
_cell_angle_beta 90.00
_cell_angle_gamma 90.00
loop_
_atom_site_label
_atom_site_type_symbol
_atom_site_fract_x
_atom_site_fract_y
_atom_site_fract_z
La1 La 0.000 0.000 0.000
Cu1 Cu 0.500 0.500 0.500
C1 C 0.000 0.000 0.500
```

Values from the calculation:
formation enthalpy at 0 K = 3.087 eV/atom
total moment = 0.000 μB/atom
energy relative to the lowest polymorph listed for this composition = 7.58 eV per formula unit

***

Record 8
Material: LaCuC
Method: DFT, PBE-GGA
State: optimized geometry

```
data_LaCuC
_space_group_name_H-M_alt 'P n m a'
_space_group_IT_number 62
_cell_length_a 6.617
_cell_length_b 5.411
_cell_length_c 5.738
_cell_angle_alpha 90.00
_cell_angle_beta 90.00
_cell_angle_gamma 90.00
loop_
_space_group_symop_operation_xyz
'x,y,z'
'-x,-y,-z'
'-x+1/2,-y,z+1/2'
'x+1/2,y,-z+1/2'
'x+1/2,-y+1/2,-z+1/2'
'-x+1/2,y+1/2,z+1/2'
'-x,y+1/2,-z'
'x,-y+1/2,z'
loop_
_atom_site_label
_atom_site_type_symbol
_atom_site_fract_x
_atom_site_fract_y
_atom_site_fract_z
La1 La 0.179 0.250 0.149
Cu1 Cu 0.041 0.250 0.672
C1 C 0.175 0.750 0.085
```

Values from the calculation:
formation enthalpy at 0 K = 0.041 eV/atom
total moment = 0.000 μB/atom

***

Record 9
Material: LaCuC
Method: DFT, PBE-GGA
State: optimized geometry

```
data_LaCuC
_space_group_name_H-M_alt 'C m c m'
_space_group_IT_number 63
_space_group_name_Hall '-C 2c 2'
_cell_length_a 3.794
_cell_length_b 6.560
_cell_length_c 7.727
_cell_angle_alpha 90.00
_cell_angle_beta 90.00
_cell_angle_gamma 90.00
loop_
_atom_site_label
_atom_site_type_symbol
_atom_site_fract_x
_atom_site_fract_y
_atom_site_fract_z
La1 La 0.000 0.000 0.000
Cu1 Cu 0.000 0.334 0.250
C1 C 0.000 0.333 0.750
```

Values from the calculation:
formation enthalpy at 0 K = 0.175 eV/atom
total moment = 0.000 μB/atom

***

Record 10
Material: LaCuC
Method: DFT, PBE-GGA
State: optimized geometry

```
data_LaCuC
_space_group_name_H-M_alt 'P 1'
_space_group_IT_number 1
_cell_length_a 4.346
_cell_length_b 5.161
_cell_length_c 5.204
_cell_angle_alpha 90.81
_cell_angle_beta 102.74
_cell_angle_gamma 100.51
loop_
_space_group_symop_operation_xyz
'x,y,z'
loop_
_atom_site_label
_atom_site_type_symbol
_atom_site_fract_x
_atom_site_fract_y
_atom_site_fract_z
La1 La 0.000 0.000 0.000
La2 La 0.369 0.493 0.610
Cu1 Cu 0.653 0.012 0.406
Cu2 Cu 0.773 0.466 0.210
C1 C 0.177 0.517 0.063
C2 C 0.451 0.710 0.118
```

Values from the calculation:
formation enthalpy at 0 K = -0.014 eV/atom
total moment = 0.000 μB/atom

***

Record 11
Material: LaCuC
Method: DFT, PBE-GGA
State: optimized geometry

```
data_LaCuC
_space_group_name_H-M_alt 'P 1 21/m 1'
_space_group_IT_number 11
_cell_length_a 5.457
_cell_length_b 3.563
_cell_length_c 5.875
_cell_angle_alpha 90.00
_cell_angle_beta 113.60
_cell_angle_gamma 90.00
loop_
_space_group_symop_operation_xyz
'x,y,z'
'-x,-y,-z'
'-x,y+1/2,-z'
'x,-y+1/2,z'
loop_
_atom_site_label
_atom_site_type_symbol
_atom_site_fract_x
_atom_site_fract_y
_atom_site_fract_z
La1 La 0.175 0.250 0.327
Cu1 Cu 0.408 0.250 0.853
C1 C 0.328 0.750 0.678
```

Values from the calculation:
formation enthalpy at 0 K = 0.136 eV/atom
total moment = 0.000 μB/atom

***

Record 12
Material: LaCuC
Method: DFT, PBE-GGA
State: optimized geometry

```
data_LaCuC
_space_group_name_H-M_alt 'P 1'
_space_group_IT_number 1
_cell_length_a 3.770
_cell_length_b 5.421
_cell_length_c 5.467
_cell_angle_alpha 97.58
_cell_angle_beta 98.46
_cell_angle_gamma 97.71
loop_
_space_group_symop_operation_xyz
'x,y,z'
loop_
_atom_site_label
_atom_site_type_symbol
_atom_site_fract_x
_atom_site_fract_y
_atom_site_fract_z
La1 La 0.000 0.000 0.000
La2 La 0.008 0.616 0.386
Cu1 Cu 0.387 0.433 0.821
Cu2 Cu 0.609 0.118 0.501
C1 C 0.129 0.149 0.539
C2 C 0.438 0.699 0.086
```

Values from the calculation:
formation enthalpy at 0 K = 0.126 eV/atom
total moment = 0.000 μB/atom

***

Record 13
Material: La2CuC
Method: DFT, PBE-GGA
State: optimized geometry

```
data_La2CuC
_space_group_name_H-M_alt 'I -4 2 d'
_space_group_IT_number 122
_space_group_name_Hall 'I -4 2bw'
_cell_length_a 7.137
_cell_length_b 7.137
_cell_length_c 8.002
_cell_angle_alpha 90.00
_cell_angle_beta 90.00
_cell_angle_gamma 90.00
loop_
_atom_site_label
_atom_site_type_symbol
_atom_site_fract_x
_atom_site_fract_y
_atom_site_fract_z
La1 La 0.188 0.250 0.125
Cu1 Cu 0.000 0.000 0.500
C1 C 0.000 0.000 0.000
```

Values from the calculation:
formation enthalpy at 0 K = 0.109 eV/atom
total moment = 0.000 μB/atom

***

Number 1: V 14.8 Å³ per atom. Number 2: V 13.8 Å³ per atom. Number 3: V 17.2 Å³ per atom. Number 4: V 27.5 Å³ per atom. Number 5: V 20.0 Å³ per atom. Number 6: V 31.0 Å³ per atom. Number 7: V 18.2 Å³ per atom. Number 8: V 17.1 Å³ per atom. Number 9: V 16.0 Å³ per atom. Number 10: V 18.6 Å³ per atom. Number 11: V 17.4 Å³ per atom. Number 12: V 18.0 Å³ per atom. Number 13: V 25.5 Å³ per atom.